Compound: La4Tc6O19
Source: Alexandria via LeMat-Bulk
Functional: PBE
Structure: relaxed

Cell: 7.8832 7.8832 7.8832 Å, 109.47 109.47 109.47°
With the nearest neighbours (Å) after each atom.
Element x y z (fractional)
1 La 0.0000 0.0000 0.6830  7 O 2.50-2.59
2 La 0.0000 0.6830 0.0000  7 O 2.50-2.59
3 La 0.3170 0.3170 0.3170  7 O 2.50-2.59
4 La 0.6830 0.0000 0.0000  7 O 2.50-2.59
5 Tc 0.1328 0.6328 0.5000  6 O 1.98-2.02
6 Tc 0.3672 0.5000 0.8672  6 O 1.98-2.02
7 Tc 0.5000 0.1328 0.6328  6 O 1.98-2.02
8 Tc 0.5000 0.8672 0.3672  6 O 1.98-2.02
9 Tc 0.6328 0.5000 0.1328  6 O 1.98-2.02
10 Tc 0.8672 0.3672 0.5000  6 O 1.98-2.02
11 O 0.0000 0.0000 0.0000  4 La 2.50
12 O 0.0000 0.3228 0.3228  2 Tc 2.02
13 O 0.0000 0.6772 0.6772  2 Tc 2.02
14 O 0.0602 0.3614 0.7333  2 Tc 1.98
15 O 0.2667 0.6281 0.3269  2 Tc 1.98
16 O 0.3013 0.9398 0.6731  2 Tc 1.98
17 O 0.3228 0.0000 0.3228  2 Tc 2.02
18 O 0.3228 0.3228 0.0000  2 Tc 2.02
19 O 0.3269 0.2667 0.6281  2 Tc 1.98
20 O 0.3614 0.7333 0.0602  2 Tc 1.98
21 O 0.3719 0.6386 0.6987  2 Tc 1.98
22 O 0.6281 0.3269 0.2667  2 Tc 1.98
23 O 0.6386 0.6987 0.3719  2 Tc 1.98
24 O 0.6731 0.3013 0.9398  2 Tc 1.98
25 O 0.6772 0.0000 0.6772  2 Tc 2.02
26 O 0.6772 0.6772 0.0000  2 Tc 2.02
27 O 0.6987 0.3719 0.6386  2 Tc 1.98
28 O 0.7333 0.0602 0.3614  2 Tc 1.98
29 O 0.9398 0.6731 0.3013  2 Tc 1.98

## Properties
crystal system	cubic
symmetry	I23

Compound: La2TcO6
Source: Alexandria via LeMat-Bulk
Functional: PBE
Structure: relaxed

Cell: 5.5942 6.2871 9.0989 Å, 90.00 122.16 90.00°
With the nearest neighbours (Å) after each atom.
Element x y z (fractional)
1 La 0.2152 0.0932 0.2474  6 O 2.39-2.60
2 La 0.2152 0.4068 0.7474  6 O 2.39-2.60
3 La 0.7848 0.5932 0.2526  6 O 2.39-2.60
4 La 0.7848 0.9068 0.7526  6 O 2.39-2.60
5 Tc 0.5000 0.0000 0.0000  6 O 1.92-1.97
6 Tc 0.5000 0.5000 0.5000  6 O 1.92-1.97
7 O 0.1527 0.1476 0.9477  1 Tc 1.97
8 O 0.1527 0.3524 0.4477  1 Tc 1.97
9 O 0.3021 0.7336 0.9296  1 Tc 1.92
10 O 0.3021 0.7664 0.4296  1 Tc 1.92
11 O 0.4023 0.0545 0.7653  1 Tc 1.93
12 O 0.4023 0.4455 0.2653  1 Tc 1.93
13 O 0.5977 0.5545 0.7347  1 Tc 1.93
14 O 0.5977 0.9455 0.2347  1 Tc 1.93
15 O 0.6979 0.2336 0.5704  1 Tc 1.92
16 O 0.6979 0.2664 0.0704  1 Tc 1.92
17 O 0.8473 0.6476 0.5523  1 Tc 1.97
18 O 0.8473 0.8524 0.0523  1 Tc 1.97

## Properties
crystal system	monoclinic
symmetry	P2_1/c
E above lowest polymorph	0.00	eV/f.u.

Compound: La3TcO6
Source: Alexandria via LeMat-Bulk
Functional: PBE
Structure: relaxed

Cell: 7.6582 7.6582 5.8048 Å, 90.00 90.00 103.35°
With the nearest neighbours (Å) after each atom.
Element x y z (fractional)
1 La 0.1014 0.8986 0.5000  7 O 2.41-2.68
2 La 0.1982 0.4068 0.4601  5 O 2.36-2.52
3 La 0.4068 0.1982 0.9601  5 O 2.36-2.52
4 La 0.5932 0.8018 0.4601  5 O 2.36-2.52
5 La 0.8018 0.5932 0.9601  5 O 2.36-2.52
6 La 0.8986 0.1014 0.0000  7 O 2.41-2.68
7 Tc 0.2904 0.7096 0.9171  3 O 1.85-1.98
8 Tc 0.7096 0.2904 0.4171  3 O 1.85-1.98
9 O 0.0802 0.5930 0.7276  1 Tc 1.98
10 O 0.1444 0.1688 0.7271  4 La 2.36-2.42
11 O 0.1688 0.1444 0.2271  4 La 2.36-2.42
12 O 0.2842 0.7158 0.2360  1 Tc 1.85
13 O 0.4070 0.9198 0.7276  1 Tc 1.98
14 O 0.4381 0.5619 0.7129  1 Tc 2.13
15 O 0.5619 0.4381 0.2129  1 Tc 2.13
16 O 0.5930 0.0802 0.2276  1 Tc 1.98
17 O 0.7158 0.2842 0.7360  1 Tc 1.85
18 O 0.8312 0.8556 0.7271  4 La 2.36-2.42
19 O 0.8556 0.8312 0.2271  4 La 2.36-2.42
20 O 0.9198 0.4070 0.2276  1 Tc 1.98

## Properties
crystal system	orthorhombic
symmetry	Cmc2_1

Compound: La2TcO8
Source: Alexandria via LeMat-Bulk
Functional: PBE
Structure: relaxed

Cell: 6.5466 6.5466 4.6725 Å, 105.64 105.64 113.78°
With the nearest neighbours (Å) after each atom.
Element x y z (fractional)
1 La 0.1897 0.8103 0.0000  9 O 2.41-2.64
2 La 0.8103 0.1897 0.0000  9 O 2.41-2.64
3 Tc 0.4117 0.4117 0.7675  5 O 1.77-1.86
4 O 0.0578 0.6511 0.4136  3 La 2.41-2.61, 2 O 2.41-2.65
5 O 0.1930 0.1930 0.3604  1 Tc 1.77
6 O 0.2022 0.4370 0.9583  1 Tc 1.86
7 O 0.4370 0.2022 0.9583  1 Tc 1.86
8 O 0.4844 0.7163 0.7833  1 Tc 1.83
9 O 0.6511 0.0578 0.4136  3 La 2.41-2.61, 2 O 2.41-2.65
10 O 0.7163 0.4844 0.7833  1 Tc 1.83
11 O 0.8733 0.8733 0.6232  2 O 2.41, 2 La 2.58

## Properties
crystal system	monoclinic
symmetry	Cm

Compound: LaTcO3
Source: Alexandria via LeMat-Bulk
Functional: PBE
Structure: relaxed

Cell: 5.2806 5.2806 5.1478 Å, 90.00 90.00 113.58°
With the nearest neighbours (Å) after each atom.
Element x y z (fractional)
1 La 0.1776 0.8224 0.7500  2 O 2.49
2 La 0.8224 0.1776 0.2500  2 O 2.49
3 Tc 0.5000 0.5000 0.0000  6 O 2.04-2.06
4 Tc 0.5000 0.5000 0.5000  6 O 2.04-2.06
5 O 0.1777 0.2933 0.7500  2 Tc 2.06
6 O 0.2933 0.1777 0.2500  2 Tc 2.06
7 O 0.3206 0.6794 0.2500  2 Tc 2.04
8 O 0.6794 0.3206 0.7500  2 Tc 2.04
9 O 0.7067 0.8223 0.7500  2 Tc 2.06
10 O 0.8223 0.7067 0.2500  2 Tc 2.06

## Properties
crystal system	orthorhombic
symmetry	Cmcm

Compound: LaTc2O
Source: Alexandria via LeMat-Bulk
Functional: PBE
Structure: relaxed

Cell: 7.5886 7.5886 7.5886 Å, 142.70 142.70 53.78°
With the nearest neighbours (Å) after each atom.
Element x y z (fractional)
1 La 0.3750 0.6250 0.7500  8 Tc 3.20, 4 O 3.43
2 La 0.6250 0.3750 0.2500  8 Tc 3.20, 4 O 3.43
3 Tc 0.0000 0.0000 0.0000  2 O 2.08
4 Tc 0.0000 0.0000 0.5000  2 O 2.08
5 Tc 0.0000 0.5000 0.0000  2 O 2.08
6 Tc 0.5000 0.0000 0.5000  2 O 2.08
7 O 0.1250 0.8750 0.2500  4 Tc 2.08
8 O 0.8750 0.1250 0.7500  4 Tc 2.08

## Properties
crystal system	tetragonal
symmetry	I4_1/amd

Compound: LaTcO4
Source: Alexandria via LeMat-Bulk
Functional: PBE
Structure: relaxed

Cell: 6.3258 6.3258 5.5956 Å, 106.18 106.18 47.55°
With the nearest neighbours (Å) after each atom.
Element x y z (fractional)
1 La 0.2264 0.7736 0.7500  4 O 2.32-2.43
2 La 0.7736 0.2264 0.2500  4 O 2.32-2.43
3 Tc 0.0000 0.5000 0.0000  6 O 1.88-2.07
4 Tc 0.5000 0.0000 0.5000  6 O 1.88-2.07
5 O 0.1434 0.2186 0.6778  2 Tc 2.05-2.07
6 O 0.2186 0.1434 0.1778  2 Tc 2.05-2.07
7 O 0.3038 0.5037 0.0467  1 Tc 1.88
8 O 0.4963 0.6962 0.4533  1 Tc 1.88
9 O 0.5037 0.3038 0.5467  1 Tc 1.88
10 O 0.6962 0.4963 0.9533  1 Tc 1.88
11 O 0.7814 0.8566 0.8222  2 Tc 2.05-2.07
12 O 0.8566 0.7814 0.3222  2 Tc 2.05-2.07

## Properties
crystal system	monoclinic
symmetry	C2/c
E above lowest polymorph	0.33	eV/f.u.

Compound: LaTc3O
Source: Alexandria via LeMat-Bulk
Functional: PBE
Structure: relaxed

Cell: 4.2953 4.2953 4.2953 Å, 90.00 90.00 90.00°
With the nearest neighbours (Å) after each atom.
Element x y z (fractional)
1 La 0.0000 0.0000 0.0000  12 Tc 3.04
2 Tc 0.0000 0.5000 0.5000  2 O 2.15
3 Tc 0.5000 0.0000 0.5000  2 O 2.15
4 Tc 0.5000 0.5000 0.0000  2 O 2.15
5 O 0.5000 0.5000 0.5000  6 Tc 2.15

## Properties
crystal system	cubic
symmetry	Pm-3m
E above lowest polymorph	0.00	eV/f.u.

Compound: LaTcO4
Source: Alexandria via LeMat-Bulk
Functional: PBE
Structure: relaxed

Cell: 6.3582 7.0420 9.3469 Å, 90.00 128.01 90.00°
With the nearest neighbours (Å) after each atom.
Element x y z (fractional)
1 La 0.1256 0.0971 0.3507  7 O 2.42-2.70
2 La 0.1256 0.4029 0.8507  7 O 2.42-2.70
3 La 0.8744 0.5971 0.1493  7 O 2.42-2.70
4 La 0.8744 0.9029 0.6493  7 O 2.42-2.70
5 Tc 0.4515 0.6214 0.6936  4 O 1.81-2.01
6 Tc 0.4515 0.8786 0.1936  4 O 1.81-2.01
7 Tc 0.5485 0.1214 0.8064  4 O 1.81-2.01
8 Tc 0.5485 0.3786 0.3064  4 O 1.81-2.01
9 O 0.1717 0.1400 0.6606  1 Tc 1.90
10 O 0.1717 0.3600 0.1606  1 Tc 1.90
11 O 0.2519 0.0137 0.9852  1 Tc 1.81
12 O 0.2519 0.4863 0.4852  1 Tc 1.81
13 O 0.2552 0.6990 0.7675  1 Tc 1.84
14 O 0.2552 0.8010 0.2675  1 Tc 1.84
15 O 0.4570 0.6100 0.1231  2 Tc 2.01-2.17
16 O 0.4570 0.8900 0.6231  2 Tc 2.01-2.17
17 O 0.5430 0.1100 0.3769  2 Tc 2.01-2.17
18 O 0.5430 0.3900 0.8769  2 Tc 2.01-2.17
19 O 0.7448 0.1990 0.7325  1 Tc 1.84
20 O 0.7448 0.3010 0.2325  1 Tc 1.84
21 O 0.7481 0.5137 0.5148  1 Tc 1.81
22 O 0.7481 0.9863 0.0148  1 Tc 1.81
23 O 0.8283 0.6400 0.8394  1 Tc 1.90
24 O 0.8283 0.8600 0.3394  1 Tc 1.90

## Properties
crystal system	monoclinic
symmetry	P2_1/c
E above lowest polymorph	0.00	eV/f.u.

Compound: LaTc2O6
Source: Alexandria via LeMat-Bulk
Functional: PBE
Structure: relaxed

Cell: 5.2994 5.2994 5.1592 Å, 90.00 90.00 120.00°
With the nearest neighbours (Å) after each atom.
Element x y z (fractional)
1 La 0.0000 0.0000 0.0000  6 O 2.45
2 Tc 0.3333 0.6667 0.5000  6 O 2.01
3 Tc 0.6667 0.3333 0.5000  6 O 2.01
4 O 0.0000 0.3692 0.7134  2 Tc 2.01
5 O 0.0000 0.6308 0.2866  2 Tc 2.01
6 O 0.3692 0.0000 0.7134  2 Tc 2.01
7 O 0.3692 0.3692 0.2866  2 Tc 2.01
8 O 0.6308 0.0000 0.2866  2 Tc 2.01
9 O 0.6308 0.6308 0.7134  2 Tc 2.01

## Properties
crystal system	trigonal
symmetry	P-31m

Compound: La2TcO6
Source: Alexandria via LeMat-Bulk
Functional: PBE
Structure: relaxed

Cell: 6.4821 6.4821 6.4821 Å, 144.83 129.58 62.96°
With the nearest neighbours (Å) after each atom.
Element x y z (fractional)
1 La 0.1655 0.1655 0.0000  8 O 2.45-2.49
2 La 0.8345 0.8345 0.0000  8 O 2.45-2.49
3 Tc 0.5000 0.5000 0.0000  8 O 2.02-2.26
4 O 0.1262 0.3583 0.7679  1 Tc 2.02
5 O 0.2961 0.0000 0.2961  5 O 2.25-2.51, 2 Tc 2.26, 2 La 2.45
6 O 0.4096 0.6417 0.7679  1 Tc 2.02
7 O 0.5904 0.3583 0.2321  1 Tc 2.02
8 O 0.7039 0.0000 0.7039  5 O 2.25-2.51, 2 Tc 2.26, 2 La 2.45
9 O 0.8738 0.6417 0.2321  1 Tc 2.02

## Properties
crystal system	orthorhombic
symmetry	Immm
E above lowest polymorph	2.41	eV/f.u.

Compound: La2TcO
Source: Alexandria via LeMat-Bulk
Functional: PBE
Structure: relaxed

Cell: 7.1000 7.1000 7.1000 Å, 131.57 131.57 70.91°
With the nearest neighbours (Å) after each atom.
Element x y z (fractional)
1 La 0.0954 0.6250 0.9704  2 O 2.42, 2 Tc 2.62
2 La 0.3750 0.3454 0.4704  2 O 2.42, 2 Tc 2.62
3 La 0.6546 0.1250 0.0296  2 O 2.42, 2 Tc 2.62
4 La 0.8750 0.9046 0.5296  2 O 2.42, 2 Tc 2.62
5 Tc 0.2500 0.7500 0.5000  4 La 2.62
6 Tc 0.5000 0.5000 0.0000  4 La 2.62
7 O 0.0000 0.0000 0.0000  4 La 2.42
8 O 0.7500 0.2500 0.5000  4 La 2.42

## Properties
crystal system	tetragonal
symmetry	I-42d

The records above give, respectively, energy relative to the elements, uncorrected values of -2182 -2551 -2713 -1829 -2069 -125 -2176 147 -2231 -1938 -2284 -916 meV per atom.